GaNiBi2Ir: optimized geometry, GGA-PBE.

The formation energy is 3.395 eV per formula unit. For the mass density, the calculation gives 9.1 g cm⁻³.

It has space group P4/mmm (No. 123), with a = 5.3284 Å, b = 5.3284 Å, c = 4.7409 Å, α = 90.00°, β = 90.00° and γ = 90.00°. Symmetry generates all atoms from Ga at (0.0000, 0.0000, 0.0000), Ni at (0.5000, 0.5000, 0.0000), Bi at (0.0000, 0.5000, 0.5000) and Ir at (0.5000, 0.5000, 0.5000).

***

Ga2BiIrO8: optimized geometry, GGA-PBE.

The calculation puts the uncorrected formation energy at -1176 meV per atom. For the mass density, the calculation gives 7.9 g cm⁻³.

It has space group Cmmm (No. 65), with a = 6.5645 Å, b = 6.6772 Å, c = 6.3729 Å, α = 90.00°, β = 90.00° and γ = 90.00°. Symmetry generates all atoms from Ga at (0.0000, 0.0000, 0.2448), Bi at (0.0000, 0.5000, 0.5000), Ir at (0.0000, 0.5000, 0.0000), O at (0.0000, 0.3017, 0.2285), O at (0.1779, 0.0000, 0.5000) and O at (0.2004, 0.0000, 0.0000).

***

GaSn2BiIr: optimized geometry, GGA-PBE.

The formation energy is 7.925 eV per formula unit. For the mass density, the calculation gives 6.6 g cm⁻³.

It has space group P4/mmm (No. 123), with a = 5.7851 Å, b = 5.7851 Å, c = 5.2869 Å, α = 90.00°, β = 90.00° and γ = 90.00°. Symmetry generates all atoms from Ga at (0.0000, 0.0000, 0.0000), Sn at (0.0000, 0.5000, 0.5000), Bi at (0.0000, 0.0000, 0.5000) and Ir at (0.5000, 0.5000, 0.0000).

***

TaGaBi2Ir: optimized geometry, GGA-PBE.

The formation energy is 4.721 eV per formula unit. For the mass density, the calculation gives 9.8 g cm⁻³.

It has space group P4/mmm (No. 123), with a = 5.4249 Å, b = 5.4249 Å, c = 4.9441 Å, α = 90.00°, β = 90.00° and γ = 90.00°. Symmetry generates all atoms from Ta at (0.0000, 0.0000, 0.0000), Ga at (0.5000, 0.5000, 0.0000), Bi at (0.0000, 0.5000, 0.5000) and Ir at (0.0000, 0.0000, 0.5000).